# TiBi2H, optimized geometry, DFT PBE
# Density ... 9.5 g cm⁻³
# E above lowest polymorph ... 0 meV/atom
data_TiBi2H
_chemical_formula_sum 'Ti4 Bi8 H4'
_symmetry_space_group_name_H-M 'I -4 2 d'
_symmetry_Int_Tables_number 122
_symmetry_space_group_name_Hall 'I -4 2bw'
_cell_length_a 6.7951
_cell_length_b 6.7951
_cell_length_c 7.0848
_cell_angle_alpha 90.00
_cell_angle_beta 90.00
_cell_angle_gamma 90.00
loop_
_atom_site_label
_atom_site_type_symbol
_atom_site_fract_x
_atom_site_fract_y
_atom_site_fract_z
Ti1 Ti 0.0000 0.0000 0.0000
Bi1 Bi 0.1740 0.2500 0.6250
H1 H 0.0000 0.0000 0.5000